[1]
The following is a PBE-GGA calculation of Dy6GaFe2 after structural relaxation, from Alexandria via LeMat-Bulk.

a b c (Å): 8.314 8.314 8.314
angles (deg): 106.93 110.20 111.31
Positions (direct):
Dy: 0.529 0.715 0.814
Dy: 0.471 0.285 0.186
Dy: 0.099 0.285 0.814
Dy: 0.901 0.715 0.186
Dy: 0.794 0.770 0.564
Dy: 0.206 0.230 0.436
Dy: 0.206 0.770 0.975
Dy: 0.794 0.230 0.025
Dy: 0.703 0.388 0.685
Dy: 0.297 0.612 0.315
Dy: 0.297 0.981 0.685
Dy: 0.703 0.019 0.315
Ga: 0.000 0.500 0.500
Ga: 0.000 0.000 0.000
Fe: 0.500 0.391 0.891
Fe: 0.500 0.609 0.109
Fe: 0.617 0.000 0.617
Fe: 0.383 0.000 0.383

## Properties
The formation energy is -1.51 eV per formula unit. The value obtained for the calculated volume is 24.54 Å³/atom. The total magnetization comes out at 1.85 μB/f.u.


[2]
The following is a PBE-GGA calculation of Dy2Ga9Fe3 after structural relaxation, from Alexandria via LeMat-Bulk.

a b c (Å): 7.372 7.372 10.483
angles (deg): 89.79 110.63 120.27
Positions (direct):
Dy: 0.336 0.249 0.750
Dy: 0.664 0.751 0.250
Dy: 0.999 0.586 0.750
Dy: 0.001 0.414 0.250
Ga: 0.454 0.917 0.749
Ga: 0.546 0.083 0.251
Ga: 0.668 0.705 0.751
Ga: 0.332 0.295 0.249
Ga: 0.456 0.647 0.930
Ga: 0.544 0.353 0.070
Ga: 0.217 0.527 0.570
Ga: 0.783 0.473 0.430
Ga: 0.885 0.135 0.750
Ga: 0.115 0.865 0.250
Ga: 0.124 0.982 0.941
Ga: 0.876 0.018 0.059
Ga: 0.541 0.183 0.559
Ga: 0.459 0.817 0.441
Ga: 0.876 0.858 0.570
Ga: 0.124 0.142 0.430
Ga: 0.789 0.306 0.930
Ga: 0.211 0.694 0.070
Fe: 0.500 0.000 0.000
Fe: 0.500 0.500 0.500
Fe: 0.846 0.173 0.499
Fe: 0.154 0.827 0.501
Fe: 0.174 0.347 0.001
Fe: 0.826 0.653 0.999

## Properties
The formation energy is -5.21 eV per formula unit. The value obtained for the calculated volume is 16.06 Å³/atom. The total magnetization comes out at 0.37 μB/f.u.


[3]
The following is a PBE-GGA calculation of DyGa3Fe after structural relaxation, from Alexandria via LeMat-Bulk.

a b c (Å): 4.532 4.532 4.532
angles (deg): 90.00 90.00 90.00
Positions (direct):
Fe: 0.000 0.000 0.000
Ga: 0.000 0.500 0.000
Ga: 0.000 0.000 0.500
Ga: 0.500 0.000 0.000
Dy: 0.500 0.500 0.500

## Properties
The formation energy is -1.46 eV per formula unit. The value obtained for the calculated volume is 18.61 Å³/atom. The total magnetization comes out at 0.01 μB/f.u.


[4]
The following is a PBE-GGA calculation of DyGa6Fe6 after structural relaxation, from Alexandria via LeMat-Bulk.

a b c (Å): 6.559 6.559 6.559
angles (deg): 134.95 99.30 97.59
Positions (direct):
Dy: 0.000 0.000 0.000
Ga: 0.666 0.000 0.666
Ga: 0.334 0.000 0.334
Ga: 0.656 0.656 0.000
Ga: 0.344 0.344 0.000
Ga: 0.184 0.684 0.500
Ga: 0.816 0.316 0.500
Fe: 0.243 0.500 0.743
Fe: 0.757 0.500 0.257
Fe: 0.500 0.500 0.500
Fe: 0.500 0.000 0.000
Fe: 0.000 0.500 0.000
Fe: 0.000 0.000 0.500

## Properties
The formation energy is -4.09 eV per formula unit. The value obtained for the calculated volume is 14.19 Å³/atom. The total magnetization comes out at 10.92 μB/f.u.


[5]
The following is a PBE-GGA calculation of Dy2Ga8Fe after structural relaxation, from Alexandria via LeMat-Bulk.

a b c (Å): 4.225 4.225 11.193
angles (deg): 90.00 90.00 90.00
Positions (direct):
Dy: 0.000 0.000 0.695
Dy: 0.000 0.000 0.305
Ga: 0.500 0.000 0.885
Ga: 0.000 0.500 0.885
Ga: 0.500 0.000 0.115
Ga: 0.000 0.500 0.115
Ga: 0.500 0.000 0.500
Ga: 0.000 0.500 0.500
Ga: 0.500 0.500 0.694
Ga: 0.500 0.500 0.306
Fe: 0.000 0.000 0.000

## Properties
The formation energy is -4.90 eV per formula unit. The value obtained for the calculated volume is 18.16 Å³/atom. The total magnetization comes out at 0.00 μB/f.u.


[6]
The following is a PBE-GGA calculation of DyGa3Fe3 after structural relaxation, from Alexandria via LeMat-Bulk.

a b c (Å): 4.221 7.873 7.873
angles (deg): 120.00 90.00 90.00
Positions (direct):
Dy: 0.250 0.667 0.333
Dy: 0.750 0.333 0.667
Ga: 0.750 0.403 0.335
Ga: 0.750 0.932 0.597
Ga: 0.250 0.335 0.932
Ga: 0.750 0.665 0.068
Ga: 0.250 0.068 0.403
Ga: 0.250 0.597 0.665
Fe: 0.750 0.171 0.972
Fe: 0.750 0.801 0.829
Fe: 0.250 0.972 0.801
Fe: 0.750 0.028 0.199
Fe: 0.250 0.199 0.171
Fe: 0.250 0.829 0.028

## Properties
The formation energy is -0.91 eV per formula unit. The value obtained for the calculated volume is 16.18 Å³/atom. The total magnetization comes out at 6.23 μB/f.u.


[7]
The following is a PBE-GGA calculation of DyGaFe4 after structural relaxation, from Alexandria via LeMat-Bulk.

a b c (Å): 4.955 4.955 4.955
angles (deg): 60.00 60.00 60.00
Positions (direct):
Fe: 0.624 0.624 0.128
Fe: 0.624 0.128 0.624
Fe: 0.624 0.624 0.624
Fe: 0.128 0.624 0.624
Ga: 0.250 0.250 0.250
Dy: 0.000 0.000 0.000

## Properties
The formation energy is -0.59 eV per formula unit. The value obtained for the calculated volume is 14.34 Å³/atom. The total magnetization comes out at 7.57 μB/f.u.


[8]
The following is a PBE-GGA calculation of Dy2GaFe after structural relaxation, from Alexandria via LeMat-Bulk.

a b c (Å): 3.288 3.288 10.223
angles (deg): 80.75 80.75 60.00
Positions (direct):
Fe: 0.000 0.000 0.000
Ga: 0.500 0.500 0.500
Dy: 0.089 0.089 0.734
Dy: 0.911 0.911 0.266

## Properties
The formation energy is 1.49 eV per formula unit. The value obtained for the calculated volume is 23.50 Å³/atom. The total magnetization comes out at 1.99 μB/f.u.


[9]
The following is a PBE-GGA calculation of DyGa8Fe4 after structural relaxation, from Alexandria via LeMat-Bulk.

a b c (Å): 5.064 6.653 6.653
angles (deg): 81.67 67.63 67.63
Positions (direct):
Dy: 0.000 0.000 0.000
Ga: 0.000 0.339 0.661
Ga: 0.000 0.661 0.339
Ga: 0.339 0.661 0.661
Ga: 0.661 0.339 0.339
Ga: 0.500 0.779 0.221
Ga: 0.500 0.221 0.779
Ga: 0.279 0.221 0.221
Ga: 0.721 0.779 0.779
Fe: 0.000 0.000 0.500
Fe: 0.500 0.000 0.500
Fe: 0.000 0.500 0.000
Fe: 0.500 0.500 0.000

## Properties
The formation energy is -3.72 eV per formula unit. The value obtained for the calculated volume is 14.74 Å³/atom. The total magnetization comes out at 6.15 μB/f.u.


[10]
The following is a PBE-GGA calculation of DyGa3FeNi after structural relaxation, from Alexandria via LeMat-Bulk.

a b c (Å): 5.527 7.600 6.368
angles (deg): 126.64 90.00 90.00
Positions (direct):
Dy: 0.750 0.293 0.586
Dy: 0.250 0.707 0.414
Ga: 0.250 0.201 0.402
Ga: 0.000 0.257 0.000
Ga: 0.500 0.743 0.000
Ga: 0.500 0.257 0.000
Ga: 0.000 0.743 0.000
Ga: 0.750 0.799 0.598
Fe: 0.250 0.427 0.854
Fe: 0.750 0.573 0.146
Ni: 0.250 0.974 0.948
Ni: 0.750 0.026 0.052

## Properties
The formation energy is -1.31 eV per formula unit. The value obtained for the calculated volume is 17.89 Å³/atom. The total magnetization comes out at 0.16 μB/f.u.